The following is a GGA-PBEsol calculation of a relaxed TlReAuO2 crystal, from Alexandria via LeMat-Bulk.

Unit cell a=3.984 b=3.984 c=5.322 alpha=90.00 beta=90.00 gamma=90.00
Site moments in Bohr magnetons follow the coordinates.
Atoms (fractional coordinates):
Re 0.000 0.000 0.500  2.32
O 0.000 0.500 0.000  0.25
Au 0.000 0.000 0.000  0.11
Tl 0.500 0.500 0.500  -0.03
O 0.500 0.000 0.000  0.25

Results
- Formation energy from raw total energies: 542 kJ/mol of formula units
- SG: No. 123

=====

The following is a GGA-PBEsol calculation of a relaxed Ga3PH crystal, from Alexandria via LeMat-Bulk.

Unit cell a=4.848 b=4.848 c=4.848 alpha=90.00 beta=90.00 gamma=90.00
Atoms (fractional coordinates):
Ga 0.500 0.000 0.000
P 0.000 0.000 0.000
H 0.500 0.500 0.500
Ga 0.000 0.500 0.000
Ga 0.000 0.000 0.500

Results
- SG: No. 221
- VASP energy: -3.01 eV per atom

=====

The following is a GGA-PBEsol calculation of a relaxed La2ZnHg crystal, from Alexandria via LeMat-Bulk.

Unit cell a=3.684 b=5.126 c=5.471 alpha=90.00 beta=90.00 gamma=90.00
Atoms (fractional coordinates):
Hg 0.500 0.500 0.199
Zn 0.500 0.000 0.557
La 0.000 0.000 0.071
La 0.000 0.500 0.674

Results
- SG: No. 25
- ΔH_f (0 K): -0.408 eV/atom

=====

The following is a GGA-PBEsol calculation of a relaxed Tl4Hg crystal, from Alexandria via LeMat-Bulk.

Unit cell a=4.874 b=5.806 c=5.806 alpha=79.85 beta=65.18 gamma=65.18
Atoms (fractional coordinates):
Tl 0.799 0.595 0.806
Hg 0.000 0.000 0.000
Tl 0.201 0.405 0.194
Tl 0.394 0.806 0.405
Tl 0.606 0.194 0.595

Results
- SG: No. 87
- ΔH_f (0 K): 0.017 eV/atom

=====

The following is a GGA-PBEsol calculation of a relaxed ScSnGeAs2 crystal, from Alexandria via LeMat-Bulk.

Unit cell a=5.119 b=5.119 c=5.353 alpha=90.00 beta=90.00 gamma=90.00
Atoms (fractional coordinates):
As 0.000 0.500 0.000
Sn 0.000 0.000 0.000
As 0.500 0.000 0.000
Sc 0.000 0.000 0.500
Ge 0.500 0.500 0.500

Results
- SG: No. 123
- ΔH_f (0 K): 0.815 eV/atom

=====

The following is a GGA-PBEsol calculation of a relaxed AgMo2IrF crystal, from Alexandria via LeMat-Bulk.

Unit cell a=4.704 b=4.704 c=5.045 alpha=90.00 beta=90.00 gamma=90.00
Site moments in Bohr magnetons follow the coordinates.
Atoms (fractional coordinates):
Ir 0.000 0.000 0.000  -0.12
F 0.500 0.500 0.500  0.07
Mo 0.500 0.000 0.000  1.72
Ag 0.000 0.000 0.500  -0.02
Mo 0.000 0.500 0.000  1.72

Results
- Formation energy from raw total energies: 693 kJ/mol of formula units
- SG: No. 123

=====

The following is a GGA-PBEsol calculation of a relaxed Zr2HgPb crystal, from Alexandria via LeMat-Bulk.

Unit cell a=4.970 b=4.970 c=4.970 alpha=60.00 beta=60.00 gamma=60.00
Atoms (fractional coordinates):
Zr 0.750 0.750 0.750
Hg 0.000 0.000 0.000
Pb 0.500 0.500 0.500
Zr 0.250 0.250 0.250

Results
- SG: No. 225
- ΔH_f (0 K): -0.143 eV/atom

=====

The following is a GGA-PBEsol calculation of a relaxed NiIrCl crystal, from Alexandria via LeMat-Bulk.

Unit cell a=2.876 b=2.876 c=5.695 alpha=90.00 beta=90.00 gamma=120.00
Atoms (fractional coordinates):
Cl 0.000 0.000 0.039
Ni 0.667 0.333 0.318
Ir 0.333 0.667 0.644

Results
- Formation energy from raw total energies: 115 kJ/mol of formula units
- SG: No. 156

=====

The following is a GGA-PBEsol calculation of a relaxed Sc2TlSn2 crystal, from Alexandria via LeMat-Bulk.

Unit cell a=4.065 b=4.065 c=8.050 alpha=104.63 beta=104.63 gamma=90.00
Site moments in Bohr magnetons follow the coordinates.
Atoms (fractional coordinates):
Sc 0.601 0.601 0.203  0.05
Sn 0.750 0.250 0.500  0.00
Sc 0.399 0.399 0.797  0.05
Tl 0.000 0.000 0.000  0.00
Sn 0.250 0.750 0.500  0.00

Results
- SG: No. 139
- ΔH_f (0 K): -0.201 eV/atom

=====

The following is a GGA-PBEsol calculation of a relaxed Ca3PdSe crystal, from Alexandria via LeMat-Bulk.

Unit cell a=5.381 b=5.381 c=5.381 alpha=90.00 beta=90.00 gamma=90.00
Atoms (fractional coordinates):
Se 0.500 0.500 0.500
Ca 0.500 0.000 0.000
Ca 0.000 0.500 0.000
Ca 0.000 0.000 0.500
Pd 0.000 0.000 0.000

Results
- Formation energy from raw total energies: -266 kJ/mol of formula units
- SG: No. 221

=====

The following is a GGA-PBEsol calculation of a relaxed K3PdF crystal, from Alexandria via LeMat-Bulk.

Unit cell a=5.128 b=5.128 c=5.128 alpha=90.00 beta=90.00 gamma=90.00
Atoms (fractional coordinates):
K 0.500 0.000 0.000
F 0.000 0.000 0.000
K 0.000 0.000 0.500
K 0.000 0.500 0.000
Pd 0.500 0.500 0.500

Results
- Formation energy from raw total energies: -466 kJ/mol of formula units
- SG: No. 221

=====

The following is a GGA-PBEsol calculation of a relaxed K2Bi2I crystal, from Alexandria via LeMat-Bulk.

Unit cell a=4.717 b=9.267 c=9.267 alpha=90.00 beta=90.00 gamma=90.00
Atoms (fractional coordinates):
Bi 0.000 0.605 0.105
K 0.500 0.692 0.808
Bi 0.000 0.105 0.395
I 0.000 0.000 0.000
K 0.500 0.808 0.308
I 0.000 0.500 0.500
K 0.500 0.192 0.692
K 0.500 0.308 0.192
Bi 0.000 0.395 0.895
Bi 0.000 0.895 0.605

Results
- Formation energy from raw total energies: -206 kJ/mol of formula units
- SG: No. 127

=====

The following is a GGA-PBEsol calculation of a relaxed SrTlHg2 crystal, from Alexandria via LeMat-Bulk.

Unit cell a=4.373 b=5.248 c=5.821 alpha=116.79 beta=112.06 gamma=90.00
Atoms (fractional coordinates):
Hg 0.731 0.231 0.463
Hg 0.006 0.006 0.012
Tl 0.267 0.767 0.535
Sr 0.495 0.495 0.990

Results
- SG: No. 44
- ΔH_f (0 K): -0.365 eV/atom

=====

| no. | total magnetization (Bohr magnetons per cell) |
| --- | --- |
| 1 | 3.34 |
| 2 | 0.00 |
| 3 | 0.00 |
| 4 | 0.00 |
| 5 | 0.00 |
| 6 | 3.78 |
| 7 | 0.00 |
| 8 | 0.00 |
| 9 | 0.17 |
| 10 | 0.00 |
| 11 | 0.00 |
| 12 | 0.00 |
| 13 | 0.00 |